No. 1
# Ca2PHRh | the Alexandria database | PBE | optimized geometry
# E_tot	-4.645	eV/atom
# D(E_F)	0.432	states/eV/atom
# ρ	4.22	Mg/m³
data_Ca2PHRh
_cell_length_a 4.764
_cell_length_b 4.764
_cell_length_c 3.730
_cell_angle_alpha 90.00
_cell_angle_beta 90.00
_cell_angle_gamma 90.00
_space_group_name_H-M_alt 'P 1'
_space_group_IT_number 1
_space_group_name_Hall 'P 1'
loop_
_atom_site_label
_atom_site_type_symbol
_atom_site_fract_x
_atom_site_fract_y
_atom_site_fract_z
Ca1 Ca 0.000 0.500 0.000
Ca2 Ca 0.500 0.000 0.000
P1 P 0.000 0.000 0.500
H1 H 0.500 0.500 0.000
Rh1 Rh 0.500 0.500 0.500

---

No. 2
# CaPHRh | the Alexandria database | PBE | optimized geometry
# E_tot	-5.379	eV/atom
# D(E_F)	0.399	states/eV/atom
# ρ	4.83	Mg/m³
data_CaPHRh
_cell_length_a 3.946
_cell_length_b 3.946
_cell_length_c 7.731
_cell_angle_alpha 90.00
_cell_angle_beta 90.00
_cell_angle_gamma 90.00
_space_group_name_H-M_alt 'P 1'
_space_group_IT_number 1
_space_group_name_Hall 'P 1'
loop_
_atom_site_label
_atom_site_type_symbol
_atom_site_fract_x
_atom_site_fract_y
_atom_site_fract_z
Ca1 Ca 0.250 0.250 0.149
Ca2 Ca 0.750 0.750 0.851
P1 P 0.250 0.250 0.671
P2 P 0.750 0.750 0.329
H1 H 0.250 0.750 0.000
H2 H 0.750 0.250 0.000
Rh1 Rh 0.250 0.750 0.500
Rh2 Rh 0.750 0.250 0.500

---

No. 3
# CaPHRh2 | the Alexandria database | PBE | optimized geometry
# E_tot	-5.849	eV/atom
# D(E_F)	0.533	states/eV/atom
# ρ	6.53	Mg/m³
data_CaPHRh2
_cell_length_a 5.697
_cell_length_b 5.697
_cell_length_c 7.055
_cell_angle_alpha 90.00
_cell_angle_beta 90.00
_cell_angle_gamma 141.90
_space_group_name_H-M_alt 'P 1'
_space_group_IT_number 1
_space_group_name_Hall 'P 1'
loop_
_atom_site_label
_atom_site_type_symbol
_atom_site_fract_x
_atom_site_fract_y
_atom_site_fract_z
Ca1 Ca 0.048 0.952 0.750
Ca2 Ca 0.952 0.048 0.250
P1 P 0.225 0.775 0.250
P2 P 0.775 0.225 0.750
H1 H 0.500 0.500 0.000
H2 H 0.500 0.500 0.500
Rh1 Rh 0.337 0.663 0.553
Rh2 Rh 0.337 0.663 0.947
Rh3 Rh 0.663 0.337 0.053
Rh4 Rh 0.663 0.337 0.447

---

Question: What is the D(E_F) in the first record?
Answer: 0.432 states/eV/atom

---

Question: ρ of number 1 (Ca2PHRh)?
Answer: 4.22 Mg/m³

---

Question: What is the formula in the third record?
Answer: CaPHRh2

---

Question: ρ of number 3 (CaPHRh2)?
Answer: 6.53 Mg/m³